No. 1
VASP calculation (PBE-GGA) on an optimized crystal structure of CePm5SmDy2.

a b c (Å): 8.156 8.156 9.208
angles (deg): 90.00 90.00 90.00
Space group P4/mbm (No. 127)
Asymmetric unit:
Ce: 0.000 0.500 0.000 x2
Pm: 0.000 0.000 0.500 x2
Pm: 0.196 0.304 0.232 x8
Sm: 0.000 0.000 0.000 x2
Dy: 0.129 0.629 0.500 x4

Formation enthalpy at 0 K (kJ/mol of formula units): 253
Mass density (Mg/m³): 7.27
Total magnetic moment (μB/atom): 0.15

No. 2
VASP calculation (PBE-GGA) on an optimized crystal structure of CePmSmDy.

a b c (Å): 8.102 8.102 8.102
angles (deg): 90.00 90.00 90.00
Space group F-43m (No. 216)
Asymmetric unit:
Ce: 0.000 0.000 0.000 x4
Pm: 0.250 0.250 0.750 x4
Sm: 0.250 0.250 0.250 x4
Dy: 0.000 0.000 0.500 x4

Formation enthalpy at 0 K (kJ/mol of formula units): 76
Mass density (Mg/m³): 7.47
Total magnetic moment (μB/atom): 0.81

No. 3
VASP calculation (PBE-GGA) on an optimized crystal structure of CePmSm6Dy2.

a b c (Å): 11.415 6.868 8.955
angles (deg): 90.00 104.62 90.00
Space group C2/m (No. 12)
Asymmetric unit:
Ce: 0.000 0.000 0.000 x2
Pm: 0.000 0.500 0.500 x2
Sm: 0.127 0.000 0.415 x4
Sm: 0.172 0.262 0.802 x8
Dy: 0.090 0.500 0.164 x4

Formation enthalpy at 0 K (kJ/mol of formula units): 237
Mass density (Mg/m³): 7.39
Total magnetic moment (μB/atom): 0.15

Which of these has the highest total magnetic moment?
CePmSmDy

total magnetic moment of number 2 (CePmSmDy)?
0.81 μB/atom